# Dy4HoEr5

A relaxed structure of Dy4HoEr5 (PBE, the Alexandria database).

a = 6.2136 Å, b = 7.7967 Å, c = 7.7967 Å
α = 80.86°, β = 66.52°, γ = 66.52°
With the nearest neighbours (Å) after each atom.
Fractional positions:
Dy 0.4041 0.3931 0.7012  4 Er 3.20-3.47, 1 Dy 3.26
Dy 0.7972 0.7012 0.6069  4 Er 3.20-3.47, 1 Dy 3.26
Dy 0.1052 0.2988 0.3931  4 Er 3.20-3.47, 1 Dy 3.26
Dy 0.4984 0.6069 0.2988  4 Er 3.20-3.47, 1 Dy 3.26
Ho 0.2204 0.0000 0.0000  1 Er 2.87
Er 0.8048 0.3771 0.9149  4 Dy 3.20-3.47, 1 Er 3.23, 1 Ho 3.23
Er 0.1818 0.9149 0.6229  4 Dy 3.20-3.47, 1 Er 3.23, 1 Ho 3.23
Er 0.7197 0.0851 0.3771  4 Dy 3.20-3.47, 1 Er 3.23, 1 Ho 3.23
Er 0.0967 0.6229 0.0851  4 Dy 3.20-3.47, 1 Er 3.23, 1 Ho 3.23
Er 0.6820 0.0000 0.0000  1 Ho 2.87

size of the total moment = 0.0 μB/f.u.
E_form = 0.31 eV per atom
E = -4.270 eV/atom

***

# Tb2PrRuO8

A relaxed structure of Tb2PrRuO8 (PBE, the Alexandria database).

a = 5.1072 Å, b = 5.0963 Å, c = 6.9099 Å
α = 90.00°, β = 90.00°, γ = 89.53°
With the nearest neighbours (Å) after each atom.
Fractional positions:
Tb 0.5000 0.5000 0.7503  6 O 2.18-2.44
Tb 0.5000 0.5000 0.2497  6 O 2.18-2.44
Pr 0.0000 0.0000 0.5000  6 O 2.29-2.45
Ru 0.0000 0.0000 0.0000  6 O 1.90-1.93
O 0.1842 0.8136 0.2024  1 Ru 1.93
O 0.7363 0.7382 0.0000  1 Ru 1.90
O 0.8159 0.1865 0.2024  1 Ru 1.93
O 0.8158 0.1864 0.7976  1 Ru 1.93
O 0.2636 0.2618 0.0000  1 Ru 1.90
O 0.1841 0.8135 0.7976  1 Ru 1.93
O 0.6820 0.6848 0.5000  2 Tb 2.18, 1 Pr 2.29
O 0.3180 0.3152 0.5000  2 Tb 2.18, 1 Pr 2.29

size of the total moment = 1.0 μB/f.u.
E = -7.585 eV/atom
E_form (uncorrected) = -2337 meV per atom

***

# NpI2Cl5

A relaxed structure of NpI2Cl5 (PBE, the Alexandria database).

a = 5.4589 Å, b = 8.4521 Å, c = 8.5530 Å
α = 85.19°, β = 71.34°, γ = 74.77°
With the nearest neighbours (Å) after each atom.
Fractional positions:
Np 0.9647 0.9998 0.0000  6 Cl 2.48-2.73
I 0.6909 0.5000 0.5527  2 I 2.86
I 0.2434 0.5011 0.4474  2 I 2.86
Cl 0.8113 0.0002 0.3055  1 Np 2.48
Cl 0.0896 0.6958 0.0003  1 Np 2.48
Cl 0.8401 0.3038 0.9997  1 Np 2.48
Cl 0.1181 0.9994 0.6944  1 Np 2.48
Cl 0.4648 0.9999 0.0001  2 Np 2.73

size of the total moment = 2.1 μB/f.u.
E = -4.220 eV/atom
E_form (uncorrected) = -1061 meV per atom

***

The highest E belongs to which entry? NpI2Cl5